Entry 1:
Ta2TcAs after structural relaxation. Source: Alexandria, functional PBE-GGA.

The space group is F-43m (No. 216) and the conventional cell measures 6.399, 6.399 and 6.399 Å, with angles of 90.00, 90.00 and 90.00 degrees. Symmetry generates all atoms from Ta at (0.000, 0.000, 0.000), Ta at (0.250, 0.250, 0.250), Tc at (0.000, 0.000, 0.500) and As at (0.250, 0.250, 0.750).

Its formation energy from the elements is 122 meV/atom. As for the calculated total energy: -152.934 eV/cell. The value obtained for the density of states at the Fermi level is 1.46 states/eV per atom.

Entry 2:
NbVPt2 after structural relaxation. Source: Alexandria, functional PBE-GGA.

The space group is P4/mmm (No. 123) and the conventional cell measures 3.897, 3.897 and 4.060 Å, with angles of 90.00, 90.00 and 90.00 degrees. Symmetry generates all atoms from Nb at (0.000, 0.000, 0.000), V at (0.500, 0.500, 0.000) and Pt at (0.000, 0.500, 0.500).

Its formation energy from the elements is -597 meV/atom. For the energy relative to the lowest polymorph listed for this composition, the calculation gives 0 meV/atom. As for the calculated total energy: -33.656 eV/cell. The value obtained for the density of states at the Fermi level is 0.93 states/eV per atom.